(1)
DFT (PBE-GGA) results for an optimized crystal structure of LaMg2Cu.

The structure in POSCAR format:
```
LaMg2Cu
1.0
-0.708 2.150 -2.323
0.757 -2.198 -2.262
-8.128 -2.739 -0.058
Mg La Cu
2 1 1
direct
0.000 0.000 0.432 Mg
0.000 0.000 0.068 Mg
0.500 0.500 0.750 La
0.500 0.500 0.250 Cu
```

Magnetization   0.0001 μB per atom
Formation enthalpy at 0 K   -0.2 eV per formula unit
E_tot   -0.2274 Ry per atom
Space group   P4/mmm, No. 123

---

(2)
DFT (PBE-GGA) results for an optimized crystal structure of CdSnBr.

The structure in POSCAR format:
```
CdSnBr
1.0
6.216 0.000 -0.076
0.000 10.592 0.000
-2.961 0.000 5.500
Cd Br Sn
4 4 4
direct
0.000 0.750 0.750 Cd
0.000 0.250 0.250 Cd
0.500 0.750 0.750 Cd
0.500 0.250 0.250 Cd
0.250 0.116 0.750 Br
0.750 0.884 0.250 Br
0.250 0.616 0.250 Br
0.750 0.384 0.750 Br
0.000 0.500 0.500 Sn
0.500 0.500 0.000 Sn
0.000 0.000 0.000 Sn
0.500 0.000 0.500 Sn
```

Magnetization   0.0000 μB per atom
Raw formation energy   -23.9 kJ/mol of atoms
E_tot   -0.1797 Ry per atom
Space group   C2/c, No. 15

---

(3)
DFT (PBE-GGA) results for an optimized crystal structure of La2ScTc.

The structure in POSCAR format:
```
La2ScTc
1.0
-3.946 -2.913 -1.849
-4.732 2.142 -0.705
-1.811 0.817 -4.851
La Sc Tc
2 1 1
direct
0.250 0.250 0.250 La
0.750 0.750 0.750 La
0.000 0.000 0.000 Sc
0.500 0.500 0.500 Tc
```

Magnetization   0.0000 μB per atom
Formation enthalpy at 0 K   1.0 eV per formula unit
E_tot   -0.4686 Ry per atom
Space group   Fm-3m, No. 225

---

(4)
DFT (PBE-GGA) results for an optimized crystal structure of Sm2YHo6Tm3.

The structure in POSCAR format:
```
Sm2YHo6Tm3
1.0
-5.638 -0.303 2.369
3.973 -4.557 0.973
4.283 6.906 8.444
Ho Y Sm Tm
6 1 2 3
direct
0.581 0.915 0.747 Ho
0.248 0.248 0.746 Ho
0.752 0.752 0.254 Ho
0.915 0.581 0.747 Ho
0.085 0.419 0.253 Ho
0.419 0.085 0.253 Ho
0.000 0.000 0.000 Y
0.333 0.667 0.000 Sm
0.667 0.333 0.000 Sm
0.166 0.834 0.500 Tm
0.834 0.166 0.500 Tm
0.500 0.500 0.500 Tm
```

Magnetization   0.0000 μB per atom
Formation enthalpy at 0 K   0.3 eV per formula unit
E_tot   -0.3462 Ry per atom
Space group   C2/m, No. 12

---

magnetization of number 4 (Sm2YHo6Tm3)? 0.0000 μB per atom

---

What is the E_tot in the second record? -0.1797 Ry per atom

---

The highest E_tot belongs to which entry? CdSnBr